The following is a PBE with a Hubbard U calculation of a relaxed NaV2RhO6 crystal, from Alexandria.

Cell lengths 12.4188, 8.6326, 6.1016 Å; angles 90.00, 119.05, 90.00 degrees
Space group C2/c (No. 15)
Unique sites:
1 Na 0.0000 0.1210 0.2500 x4
2 V 0.2105 0.3903 0.1851 x8
3 Rh 0.0000 0.2183 0.7500 x4
4 O 0.1268 0.2180 0.1162 x8
5 O 0.1380 0.1679 0.6776 x8
6 O 0.1835 0.4897 0.4154 x8

Computed properties:
- Fermi-level density of states: 1.27 states/eV/cell
- Total DFT energy (no corrections): -0.504 Ry per atom
- V: 571.8 Å³/cell
- Spin magnetization: 0.0 μB/cell